TlZnW2 (PBE, relaxed); DOS(E_F) = 1.83 states/eV/cell; energy of formation from the pure elements = 2.53 eV per formula unit; energy relative to the lowest polymorph listed for this composition = 115 meV/atom; electronic total energy = -6.754 eV per atom
1.0
2.889 0.000 0.000
0.000 3.959 0.000
-1.124 0.000 6.463
Tl Zn W
1 1 2
direct
0.000 0.000 0.000
0.600 0.500 0.711
0.022 0.000 0.508
0.626 0.500 0.296